[1]
A plane-wave DFT calculation with PBE-GGA was carried out for NdNi2SbAs after structural relaxation.

a b c (Å): 4.3631 4.3631 9.6873
angles (deg): 90.00 90.00 90.00
With the nearest neighbours (Å) after each atom.
Space group P4/nmm (No. 129, origin choice 2)
Inequivalent atoms, fractional coordinates:
Nd1 0.2500 0.2500 0.2394 (multiplicity 2)  4 As 3.18, 4 Sb 3.32, 9 Ni 3.32-3.35
Ni1 0.2500 0.2500 0.8965 (multiplicity 2)  4 As 2.40, 1 Sb 2.54
Ni2 0.2500 0.7500 0.5000 (multiplicity 2)  4 Sb 2.54
Sb1 0.2500 0.2500 0.6341 (multiplicity 2)  5 Ni 2.54
As1 0.2500 0.7500 0.0000 (multiplicity 2)  4 Ni 2.40

Magnetization: 0.00 Bohr magnetons per cell
VASP energy: -5.70 eV/atom

---

[2]
A plane-wave DFT calculation with PBE-GGA was carried out for SmErBi2Te2 after structural relaxation.

a b c (Å): 4.4005 4.4005 9.3803
angles (deg): 90.00 90.00 90.00
With the nearest neighbours (Å) after each atom.
Space group P4mm (No. 99)
Inequivalent atoms, fractional coordinates:
Sm1 0.0000 0.0000 0.0000 (multiplicity 1)  5 Te 3.23-3.24, 4 Bi 3.47
Er1 0.5000 0.5000 0.5692 (multiplicity 1)  5 Te 3.15-3.21, 4 Bi 3.45
Bi1 0.0000 0.5000 0.2859 (multiplicity 2)  4 Bi 3.11, 2 Er 3.45, 2 Sm 3.47
Te1 0.0000 0.0000 0.6553 (multiplicity 1)  4 Er 3.21, 1 Sm 3.23
Te2 0.5000 0.5000 0.9055 (multiplicity 1)  1 Er 3.15, 4 Sm 3.24

Magnetization: 0.00 Bohr magnetons per cell
VASP energy: -4.95 eV/atom

---

[3]
A plane-wave DFT calculation with PBE-GGA was carried out for In2HgTe3Se after structural relaxation.

a b c (Å): 6.2802 6.2913 7.6031
angles (deg): 114.37 113.34 90.88
With the nearest neighbours (Å) after each atom.
Space group P1 (No. 1)
Inequivalent atoms, fractional coordinates:
In1 0.0000 0.0000 0.0000 (multiplicity 1)  1 Se 2.65, 3 Te 2.84
In2 0.2394 0.7574 0.5138 (multiplicity 1)  1 Se 2.66, 3 Te 2.85
Hg1 0.4897 0.4896 0.0042 (multiplicity 1)  1 Se 2.76, 3 Te 2.87-2.88
Te1 0.4084 0.9178 0.2836 (multiplicity 1)  2 In 2.84-2.85, 1 Hg 2.87
Te2 0.6299 0.5839 0.7217 (multiplicity 1)  2 In 2.84-2.85, 1 Hg 2.88
Te3 0.8568 0.3535 0.2841 (multiplicity 1)  2 In 2.84-2.85, 1 Hg 2.87
Se1 0.0942 0.1210 0.7390 (multiplicity 1)  2 In 2.65-2.66, 1 Hg 2.76

E above lowest polymorph: 0 meV per atom

---

[4]
A plane-wave DFT calculation with PBE-GGA was carried out for Sm2ErSn3PdPt2 after structural relaxation.

a b c (Å): 4.0693 13.0516 7.5944
angles (deg): 90.00 90.00 90.00
With the nearest neighbours (Å) after each atom.
Space group Amm2 (No. 38)
Inequivalent atoms, fractional coordinates:
Sm1 0.0000 0.2055 0.0000 (multiplicity 4)  4 Pt 3.08-3.09, 1 Pd 3.12, 6 Sn 3.24-3.41
Er1 0.0000 0.0000 0.3840 (multiplicity 2)  4 Pt 3.01, 1 Pd 3.08, 2 Sn 3.26
Sn1 0.5000 0.0000 0.0481 (multiplicity 2)  2 Pd 2.83, 2 Pt 2.83
Sn2 0.5000 0.1276 0.6659 (multiplicity 4)  2 Pd 2.79, 2 Pt 2.84-2.92
Pd1 0.0000 0.0000 0.7890 (multiplicity 2)  6 Sn 2.79-2.83, 1 Er 3.08, 2 Sm 3.12
Pt1 0.5000 0.1622 0.2962 (multiplicity 4)  3 Sn 2.83-2.92, 2 Er 3.01, 4 Sm 3.08-3.09

Magnetization: 0.01 Bohr magnetons per cell
VASP energy: -5.85 eV/atom

---

| no. | volume (A^3/atom) |
| --- | --- |
| 1 | 18.441 |
| 2 | 30.275 |
| 3 | 35.065 |
| 4 | 22.408 |